Entry 1:
## Li4YOs (PBE)

Data for crystalline Li4YOs at its relaxed geometry.

It has space group F-43m (No. 216), with a = 7.2457 Å, b = 7.2457 Å, c = 7.2457 Å, α = 90.00°, β = 90.00° and γ = 90.00°. The inequivalent atoms are Li at (0.1206, 0.1206, 0.1206), Y at (0.0000, 0.0000, 0.5000) and Os at (0.2500, 0.2500, 0.7500).

Its energy of formation from the pure elements is 0.2313 eV per atom.

=====

Entry 2:
## LiY2Os2 (PBE)

Data for crystalline LiY2Os2 at its relaxed geometry.

It has space group P4/mbm (No. 127), with a = 6.9662 Å, b = 6.9662 Å, c = 4.3508 Å, α = 90.00°, β = 90.00° and γ = 90.00°. The inequivalent atoms are Li at (0.0000, 0.0000, 0.0000), Y at (0.1764, 0.3236, 0.5000) and Os at (0.1215, 0.6215, 0.0000).

Its energy of formation from the pure elements is 0.0753 eV per atom. The calculation puts the offset from the most stable computed form at 0.000 eV/atom.

=====

Entry 3:
## LiYOs (PBE)

Data for crystalline LiYOs at its relaxed geometry.

It has space group F-43m (No. 216), with a = 6.3834 Å, b = 6.3834 Å, c = 6.3834 Å, α = 90.00°, β = 90.00° and γ = 90.00°. The inequivalent atoms are Li at (0.0000, 0.0000, 0.0000), Y at (0.0000, 0.0000, 0.5000) and Os at (0.2500, 0.2500, 0.7500).

Its energy of formation from the pure elements is 0.5179 eV per atom. The calculation puts the offset from the most stable computed form at 0.368 eV/atom.

=====

Entry 4:
## Li2YZrOs (PBE)

Data for crystalline Li2YZrOs at its relaxed geometry.

It has space group P4/mmm (No. 123), with a = 4.8223 Å, b = 4.8223 Å, c = 4.8579 Å, α = 90.00°, β = 90.00° and γ = 90.00°. The inequivalent atoms are Li at (0.0000, 0.5000, 0.0000), Y at (0.0000, 0.0000, 0.5000), Zr at (0.5000, 0.5000, 0.0000) and Os at (0.5000, 0.5000, 0.5000).

Its energy of formation from the pure elements is 0.7824 eV per atom.

=====

Entry 5:
## LiZnOs2 (PBE)

Data for crystalline LiZnOs2 at its relaxed geometry.

It has space group P4/mmm (No. 123), with a = 3.0702 Å, b = 3.0702 Å, c = 5.6179 Å, α = 90.00°, β = 90.00° and γ = 90.00°. The inequivalent atoms are Li at (0.0000, 0.0000, 0.0000), Zn at (0.0000, 0.0000, 0.5000) and Os at (0.5000, 0.5000, 0.2165).

Its energy of formation from the pure elements is 0.5582 eV per atom.

=====

Entry 6:
## LiZnOs2 (PBE)

Data for crystalline LiZnOs2 at its relaxed geometry.

It has space group I4/mmm (No. 139), with a = 3.6354 Å, b = 3.6354 Å, c = 8.4741 Å, α = 90.00°, β = 90.00° and γ = 90.00°. The inequivalent atoms are Li at (0.0000, 0.0000, 0.0000), Zn at (0.0000, 0.0000, 0.5000) and Os at (0.0000, 0.5000, 0.2500).

Its energy of formation from the pure elements is 0.3699 eV per atom.

=====

Entry 7:
## LiZn3Os (PBE)

Data for crystalline LiZn3Os at its relaxed geometry.

It has space group Pm-3m (No. 221), with a = 4.8279 Å, b = 4.8279 Å, c = 4.8279 Å, α = 90.00°, β = 90.00° and γ = 90.00°. The inequivalent atoms are Li at (0.0000, 0.0000, 0.0000), Zn at (0.0000, 0.5000, 0.5000) and Os at (0.5000, 0.5000, 0.5000).

Its energy of formation from the pure elements is 0.4064 eV per atom. The calculation puts the offset from the most stable computed form at 0.000 eV/atom.

=====

Entry 8:
## LiZn2Os (PBE)

Data for crystalline LiZn2Os at its relaxed geometry.

It has space group P4mm (No. 99), with a = 2.6326 Å, b = 2.6326 Å, c = 8.3790 Å, α = 90.00°, β = 90.00° and γ = 90.00°. The inequivalent atoms are Li at (0.0000, 0.0000, 0.0000), Zn at (0.0000, 0.0000, 0.4893), Zn at (0.5000, 0.5000, 0.7436) and Os at (0.5000, 0.5000, 0.2482).

Its energy of formation from the pure elements is 0.1868 eV per atom.